Compound: LiPd4Pt2
Source: the Alexandria database
Functional: PBE
Structure: relaxed

Values from the calculation:
The calculation puts the total energy at -5.016 eV/atom. The energy of formation from the pure elements is -0.049 eV/atom. For the energy above the lowest structure with this stoichiometry, the calculation gives 0.0 kJ/mol of atoms.

Unit cell a=9.0898 b=5.0419 c=9.2159 alpha=72.64 beta=31.97 gamma=75.40
Closest atoms and distances in Å follow each position.
Fractional coordinates of all 14 atoms:
Li1 0.0000 0.0000 0.0000  2 Pd 2.48, 4 Pt 2.56-2.63
Li2 0.2500 0.2500 0.2500  2 Pd 2.48, 4 Pt 2.56-2.63
Pd1 0.1797 0.3193 0.5613  1 Li 2.48, 3 Pd 2.53-2.77, 2 Pt 2.67-2.71
Pd2 0.3103 0.6887 0.9307  1 Li 2.48, 3 Pd 2.53-2.77, 2 Pt 2.67-2.71
Pd3 0.3193 0.1797 0.9397  1 Li 2.48, 3 Pd 2.53-2.77, 2 Pt 2.67-2.71
Pd4 0.5220 0.7600 0.3163  4 Pt 2.75-3.00, 6 Pd 2.77-2.93, 1 Li 2.81
Pd5 0.6887 0.3103 0.0703  1 Li 2.48, 3 Pd 2.53-2.77, 2 Pt 2.67-2.71
Pd6 0.7600 0.5220 0.4016  4 Pt 2.75-3.00, 6 Pd 2.77-2.93, 1 Li 2.81
Pd7 0.8484 0.9337 0.4900  4 Pt 2.75-3.00, 6 Pd 2.77-2.93, 1 Li 2.81
Pd8 0.9337 0.8484 0.7280  4 Pt 2.75-3.00, 6 Pd 2.77-2.93, 1 Li 2.81
Pt1 0.1021 0.5314 0.8702  2 Li 2.56-2.63, 7 Pd 2.67-2.81
Pt2 0.3798 0.7537 0.1479  2 Li 2.56-2.63, 7 Pd 2.67-2.81
Pt3 0.5314 0.1021 0.4963  2 Li 2.56-2.63, 7 Pd 2.67-2.81
Pt4 0.7537 0.3798 0.7186  2 Li 2.56-2.63, 7 Pd 2.67-2.81